Material: Er11Tl9Pd4
Method: DFT, GGA-PBE
State: optimized geometry

Lattice parameters (Å, degrees): 13.2371 13.2371 3.6773 90.00 90.00 112.74
Fractional positions:
Er  0.0000  0.0000  0.0000
Er  0.0763  0.4149  0.0000
Er  0.1613  0.8387  0.0000
Er  0.3078  0.3078  0.0000
Er  0.3721  0.6279  0.0000
Er  0.4149  0.0763  0.0000
Er  0.5851  0.9237  0.0000
Er  0.6279  0.3721  0.0000
Er  0.6922  0.6922  0.0000
Er  0.8387  0.1613  0.0000
Er  0.9237  0.5851  0.0000
Tl  0.0676  0.2150  0.5000
Tl  0.1512  0.6308  0.5000
Tl  0.2150  0.0676  0.5000
Tl  0.3692  0.8488  0.5000
Tl  0.5000  0.5000  0.5000
Tl  0.6308  0.1512  0.5000
Tl  0.7850  0.9324  0.5000
Tl  0.8488  0.3692  0.5000
Tl  0.9324  0.7850  0.5000
Pd  0.2483  0.4494  0.5000
Pd  0.4494  0.2483  0.5000
Pd  0.5506  0.7517  0.5000
Pd  0.7517  0.5506  0.5000

Computed properties:
Uncorrected energy   -4.395 eV/atom
Total moment   0.000 μB per atom
Formation enthalpy at 0 K   -551 meV/atom
Theoretical density   11.47 g/cm3
D(E_F)   16.19 states/eV per cell

=====

Material: Er2TlPd6
Method: DFT, GGA-PBE
State: optimized geometry

Lattice parameters (Å, degrees): 8.0030 8.0030 8.0030 155.34 120.14 65.73
Fractional positions:
Er  0.1640  0.1640  0.0000
Er  0.8360  0.8360  0.0000
Tl  0.5000  0.5000  0.0000
Pd  0.1134  0.3335  0.7799
Pd  0.2189  0.0000  0.2189
Pd  0.4464  0.6665  0.7799
Pd  0.5536  0.3335  0.2201
Pd  0.7811  0.0000  0.7811
Pd  0.8866  0.6665  0.2201

Computed properties:
Uncorrected energy   -5.202 eV/atom
Total moment   0.000 μB per atom
Formation enthalpy at 0 K   -463 meV/atom
Theoretical density   10.66 g/cm3
D(E_F)   3.26 states/eV per cell